Record 1
Here is Mg3SnRh at its PBEsol-relaxed geometry from Alexandria. Energies are from SCAN.

energy = -16.07 eV per atom
symmetry = Pm-3m (221)

a = 5.129 Å, b = 5.129 Å, c = 5.129 Å
α = 90.00°, β = 90.00°, γ = 90.00°
Atoms (fractional coordinates):
Mg  0.000  0.000  0.500
Mg  0.000  0.500  0.000
Mg  0.500  0.000  0.000
Sn  0.000  0.000  0.000
Rh  0.500  0.500  0.500

---

Record 2
Here is MgSn3Rh at its PBEsol-relaxed geometry from Alexandria. Energies are from SCAN.

energy = -29.21 eV per atom
symmetry = Pm-3m (221)

a = 5.094 Å, b = 5.094 Å, c = 5.094 Å
α = 90.00°, β = 90.00°, γ = 90.00°
Atoms (fractional coordinates):
Mg  0.000  0.000  0.000
Sn  0.000  0.500  0.500
Sn  0.500  0.000  0.500
Sn  0.500  0.500  0.000
Rh  0.500  0.500  0.500

---

Record 3
Here is SrMgRh4 at its PBEsol-relaxed geometry from Alexandria. Energies are from SCAN.

energy = -27.29 eV per atom
symmetry = F-43m (216)

a = 5.260 Å, b = 5.260 Å, c = 5.260 Å
α = 60.00°, β = 60.00°, γ = 60.00°
Atoms (fractional coordinates):
Sr  0.000  0.000  0.000
Mg  0.750  0.750  0.750
Rh  0.376  0.376  0.376
Rh  0.376  0.376  0.873
Rh  0.376  0.873  0.376
Rh  0.873  0.376  0.376

---

Record 4
Here is Sr2MgRh at its PBEsol-relaxed geometry from Alexandria. Energies are from SCAN.

energy = -20.74 eV per atom
symmetry = F-43m (216)

a = 7.370 Å, b = 7.370 Å, c = 7.370 Å
α = 90.00°, β = 90.00°, γ = 90.00°
Atoms (fractional coordinates):
Sr  0.000  0.000  0.000
Sr  0.000  0.500  0.500
Sr  0.250  0.250  0.250
Sr  0.250  0.750  0.750
Sr  0.500  0.000  0.500
Sr  0.500  0.500  0.000
Sr  0.750  0.250  0.750
Sr  0.750  0.750  0.250
Mg  0.250  0.250  0.750
Mg  0.250  0.750  0.250
Mg  0.750  0.250  0.250
Mg  0.750  0.750  0.750
Rh  0.000  0.000  0.500
Rh  0.000  0.500  0.000
Rh  0.500  0.000  0.000
Rh  0.500  0.500  0.500

---

Record 5
Here is Sr2MgRh at its PBEsol-relaxed geometry from Alexandria. Energies are from SCAN.

energy = -20.79 eV per atom
symmetry = P4/mmm (123)

a = 5.096 Å, b = 5.096 Å, c = 4.142 Å
α = 90.00°, β = 90.00°, γ = 90.00°
Atoms (fractional coordinates):
Sr  0.000  0.500  0.000
Sr  0.500  0.000  0.000
Mg  0.000  0.000  0.500
Rh  0.500  0.500  0.500

---

Record 6
Here is Sr2MgRh at its PBEsol-relaxed geometry from Alexandria. Energies are from SCAN.

energy = -21.00 eV per atom
symmetry = Amm2 (38)

a = 4.464 Å, b = 4.590 Å, c = 11.670 Å
α = 90.00°, β = 90.00°, γ = 90.00°
Atoms (fractional coordinates):
Sr  0.000  0.000  0.000
Sr  0.000  0.500  0.500
Sr  0.500  0.000  0.283
Sr  0.500  0.500  0.783
Mg  0.000  0.000  0.694
Mg  0.000  0.500  0.194
Rh  0.500  0.000  0.583
Rh  0.500  0.500  0.083

---

| no. | total magnetic moment (μB/f.u.) |
| --- | --- |
| 1 | 1.02 |
| 2 | 0.00 |
| 3 | 0.00 |
| 4 | 0.00 |
| 5 | 0.00 |
| 6 | 0.00 |